Density functional theory data (GGA-PBEsol) for a relaxed structure of BaCaZr.

It has space group I4mm (No. 107), with a = 3.527 Å, b = 3.527 Å, c = 16.468 Å, α = 90.00°, β = 90.00° and γ = 90.00°. The distinct sites, in fractional coordinates, are Ba at (0.000, 0.000, 0.000), Ca at (0.000, 0.000, 0.701) and Zr at (0.000, 0.000, 0.344).

As for the formation energy from the elements: 447 meV/atom. The density of states at the Fermi level is 7.8 states/eV per cell. The electronic total energy is -4.01 eV/atom. As for the energy above the most stable polymorph in this dataset: 0.00 kJ/mol of atoms.